(1)
The following is a PBE calculation of a geometry-optimized Ni8As2P structure, from Alexandria via LeMat-Bulk.

## Properties
**Energy of formation from the pure elements**: -0.226 eV/atom
**Calculated total energy**: -63.44 eV per formula unit
**Magnetic moment**: 0.0 μB/cell

Structure (CIF):
```
data_Ni8As2P
_space_group_name_H-M_alt 'I m m m'
_space_group_IT_number 71
_space_group_name_Hall '-I 2 2'
_cell_length_a 3.6683
_cell_length_b 6.7094
_cell_length_c 10.5531
_cell_angle_alpha 90.00
_cell_angle_beta 90.00
_cell_angle_gamma 90.00
loop_
_atom_site_label
_atom_site_type_symbol
_atom_site_fract_x
_atom_site_fract_y
_atom_site_fract_z
Ni1 Ni 0.0000 0.0000 0.1272
Ni2 Ni 0.0000 0.2380 0.3381
Ni3 Ni 0.0000 0.3099 0.0000
As1 As 0.0000 0.5000 0.1845
P1 P 0.0000 0.5000 0.5000
```


(2)
The following is a PBE calculation of a geometry-optimized Ni2AsP structure, from Alexandria via LeMat-Bulk.

## Properties
**Energy of formation from the pure elements**: -0.360 eV/atom
**Calculated total energy**: -23.06 eV per formula unit
**Magnetic moment**: 0.0 μB/cell

Structure (CIF):
```
data_Ni2AsP
_space_group_name_H-M_alt 'P b c a'
_space_group_IT_number 61
_cell_length_a 5.1621
_cell_length_b 13.9804
_cell_length_c 5.9468
_cell_angle_alpha 90.00
_cell_angle_beta 90.00
_cell_angle_gamma 90.00
loop_
_space_group_symop_operation_xyz
'x,y,z'
'-x,-y,-z'
'-x+1/2,-y,z+1/2'
'x+1/2,y,-z+1/2'
'x+1/2,-y+1/2,-z'
'-x+1/2,y+1/2,z'
'-x,y+1/2,-z+1/2'
'x,-y+1/2,z+1/2'
loop_
_atom_site_label
_atom_site_type_symbol
_atom_site_fract_x
_atom_site_fract_y
_atom_site_fract_z
Ni1 Ni 0.0070 0.0510 0.1980
Ni2 Ni 0.0103 0.6620 0.6966
As1 As 0.1820 0.6847 0.0773
P1 P 0.1852 0.0601 0.5651
```


(3)
The following is a PBE calculation of a geometry-optimized Ni4AsP structure, from Alexandria via LeMat-Bulk.

## Properties
**Energy of formation from the pure elements**: -0.224 eV/atom
**Calculated total energy**: -34.53 eV per formula unit
**Magnetic moment**: 0.0 μB/cell

Structure (CIF):
```
data_Ni4AsP
_space_group_name_H-M_alt 'C 1 2/c 1'
_space_group_IT_number 15
_cell_length_a 6.3082
_cell_length_b 8.6530
_cell_length_c 5.6209
_cell_angle_alpha 90.00
_cell_angle_beta 108.76
_cell_angle_gamma 90.00
loop_
_space_group_symop_operation_xyz
'x,y,z'
'-x,-y,-z'
'-x,y,-z+1/2'
'x,-y,z+1/2'
'x+1/2,y+1/2,z'
'-x+1/2,-y+1/2,-z'
'-x+1/2,y+1/2,-z+1/2'
'x+1/2,-y+1/2,z+1/2'
loop_
_atom_site_label
_atom_site_type_symbol
_atom_site_fract_x
_atom_site_fract_y
_atom_site_fract_z
Ni1 Ni 0.1111 0.1857 0.0938
Ni2 Ni 0.2055 0.4043 0.4350
As1 As 0.0000 0.3703 0.7500
P1 P 0.0000 0.0297 0.7500
```


(4)
The following is a PBE calculation of a geometry-optimized Ni3AsP structure, from Alexandria via LeMat-Bulk.

## Properties
**Energy of formation from the pure elements**: 0.632 eV/atom
**Calculated total energy**: -24.24 eV per formula unit
**Magnetic moment**: 0.0 μB/cell

Structure (CIF):
```
data_Ni3AsP
_space_group_name_H-M_alt 'P m -3 m'
_space_group_IT_number 221
_space_group_name_Hall '-P 4 2 3'
_cell_length_a 4.3236
_cell_length_b 4.3236
_cell_length_c 4.3236
_cell_angle_alpha 90.00
_cell_angle_beta 90.00
_cell_angle_gamma 90.00
loop_
_atom_site_label
_atom_site_type_symbol
_atom_site_fract_x
_atom_site_fract_y
_atom_site_fract_z
Ni1 Ni 0.0000 0.0000 0.5000
As1 As 0.0000 0.0000 0.0000
P1 P 0.5000 0.5000 0.5000
```


(5)
The following is a PBE calculation of a geometry-optimized Ni2AsP structure, from Alexandria via LeMat-Bulk.

## Properties
**Energy of formation from the pure elements**: -0.313 eV/atom
**Calculated total energy**: -22.87 eV per formula unit
**Magnetic moment**: 0.0 μB/cell

Structure (CIF):
```
data_Ni2AsP
_space_group_name_H-M_alt 'P -6 m 2'
_space_group_IT_number 187
_space_group_name_Hall 'P -6 2'
_cell_length_a 3.5401
_cell_length_b 3.5401
_cell_length_c 4.9834
_cell_angle_alpha 90.00
_cell_angle_beta 90.00
_cell_angle_gamma 120.00
loop_
_atom_site_label
_atom_site_type_symbol
_atom_site_fract_x
_atom_site_fract_y
_atom_site_fract_z
Ni1 Ni 0.0000 0.0000 0.2407
As1 As 0.6667 0.3333 0.5000
P1 P 0.3333 0.6667 0.0000
```


(6)
The following is a PBE calculation of a geometry-optimized NiAsP structure, from Alexandria via LeMat-Bulk.

## Properties
**Energy of formation from the pure elements**: -0.049 eV/atom
**Calculated total energy**: -15.99 eV per formula unit
**Magnetic moment**: 0.0 μB/cell

Structure (CIF):
```
data_NiAsP
_space_group_name_H-M_alt 'P 3 m 1'
_space_group_IT_number 156
_cell_length_a 3.3432
_cell_length_b 3.3432
_cell_length_c 4.5964
_cell_angle_alpha 90.00
_cell_angle_beta 90.00
_cell_angle_gamma 120.00
loop_
_space_group_symop_operation_xyz
'x,y,z'
'-y,x-y,z'
'-x+y,-x,z'
'-y,-x,z'
'-x+y,y,z'
'x,x-y,z'
loop_
_atom_site_label
_atom_site_type_symbol
_atom_site_fract_x
_atom_site_fract_y
_atom_site_fract_z
Ni1 Ni 0.0000 0.0000 0.0000
As1 As 0.3333 0.6667 0.3271
P1 P 0.6667 0.3333 0.7357
```


(7)
The following is a PBE calculation of a geometry-optimized Ni2AsP structure, from Alexandria via LeMat-Bulk.

## Properties
**Energy of formation from the pure elements**: -0.358 eV/atom
**Calculated total energy**: -23.05 eV per formula unit
**Magnetic moment**: 0.0 μB/cell

Structure (CIF):
```
data_Ni2AsP
_space_group_name_H-M_alt 'P 1 21/c 1'
_space_group_IT_number 14
_cell_length_a 7.1751
_cell_length_b 6.1336
_cell_length_c 4.9788
_cell_angle_alpha 90.00
_cell_angle_beta 91.11
_cell_angle_gamma 90.00
loop_
_space_group_symop_operation_xyz
'x,y,z'
'-x,-y,-z'
'-x,y+1/2,-z+1/2'
'x,-y+1/2,z+1/2'
loop_
_atom_site_label
_atom_site_type_symbol
_atom_site_fract_x
_atom_site_fract_y
_atom_site_fract_z
Ni1 Ni 0.0825 0.1972 0.4914
Ni2 Ni 0.3863 0.6948 0.4772
As1 As 0.3741 0.0709 0.3139
P1 P 0.1144 0.5525 0.3252
```


(8)
The following is a PBE calculation of a geometry-optimized Ni2AsP structure, from Alexandria via LeMat-Bulk.

## Properties
**Energy of formation from the pure elements**: 0.040 eV/atom
**Calculated total energy**: -21.46 eV per formula unit
**Magnetic moment**: 0.0 μB/cell

Structure (CIF):
```
data_Ni2AsP
_space_group_name_H-M_alt 'I -4 m 2'
_space_group_IT_number 119
_space_group_name_Hall 'I -4 -2'
_cell_length_a 3.5490
_cell_length_b 3.5490
_cell_length_c 8.1774
_cell_angle_alpha 90.00
_cell_angle_beta 90.00
_cell_angle_gamma 90.00
loop_
_atom_site_label
_atom_site_type_symbol
_atom_site_fract_x
_atom_site_fract_y
_atom_site_fract_z
Ni1 Ni 0.0000 0.0000 0.0000
Ni2 Ni 0.0000 0.5000 0.2500
As1 As 0.0000 0.0000 0.5000
P1 P 0.0000 0.5000 0.7500
```


(9)
The following is a PBE calculation of a geometry-optimized NiAsP structure, from Alexandria via LeMat-Bulk.

## Properties
**Energy of formation from the pure elements**: 0.002 eV/atom
**Calculated total energy**: -15.83 eV per formula unit
**Magnetic moment**: 0.0 μB/cell

Structure (CIF):
```
data_NiAsP
_space_group_name_H-M_alt 'I 4 m m'
_space_group_IT_number 107
_space_group_name_Hall 'I 4 -2'
_cell_length_a 2.6940
_cell_length_b 2.6940
_cell_length_c 13.9606
_cell_angle_alpha 90.00
_cell_angle_beta 90.00
_cell_angle_gamma 90.00
loop_
_atom_site_label
_atom_site_type_symbol
_atom_site_fract_x
_atom_site_fract_y
_atom_site_fract_z
Ni1 Ni 0.0000 0.0000 0.0000
As1 As 0.0000 0.0000 0.6358
P1 P 0.0000 0.0000 0.3986
```


(10)
The following is a PBE calculation of a geometry-optimized Ni5AsP2 structure, from Alexandria via LeMat-Bulk.

## Properties
**Energy of formation from the pure elements**: -0.335 eV/atom
**Calculated total energy**: -47.05 eV per formula unit
**Magnetic moment**: 0.0 μB/cell

Structure (CIF):
```
data_Ni5AsP2
_space_group_name_H-M_alt 'P n m a'
_space_group_IT_number 62
_cell_length_a 10.9439
_cell_length_b 6.1744
_cell_length_c 5.8255
_cell_angle_alpha 90.00
_cell_angle_beta 90.00
_cell_angle_gamma 90.00
loop_
_space_group_symop_operation_xyz
'x,y,z'
'-x,-y,-z'
'-x+1/2,-y,z+1/2'
'x+1/2,y,-z+1/2'
'x+1/2,-y+1/2,-z+1/2'
'-x+1/2,y+1/2,z+1/2'
'-x,y+1/2,-z'
'x,-y+1/2,z'
loop_
_atom_site_label
_atom_site_type_symbol
_atom_site_fract_x
_atom_site_fract_y
_atom_site_fract_z
Ni1 Ni 0.0057 0.2500 0.0027
Ni2 Ni 0.1459 0.0354 0.6525
Ni3 Ni 0.1762 0.7500 0.3114
Ni4 Ni 0.1946 0.2500 0.2815
As1 As 0.0046 0.7500 0.5514
P1 P 0.1627 0.5104 0.0205
```


(11)
The following is a PBE calculation of a geometry-optimized Ni2AsP structure, from Alexandria via LeMat-Bulk.

## Properties
**Energy of formation from the pure elements**: 0.012 eV/atom
**Calculated total energy**: -21.57 eV per formula unit
**Magnetic moment**: 0.0 μB/cell

Structure (CIF):
```
data_Ni2AsP
_space_group_name_H-M_alt 'F m -3 m'
_space_group_IT_number 225
_space_group_name_Hall '-F 4 2 3'
_cell_length_a 5.9111
_cell_length_b 5.9111
_cell_length_c 5.9111
_cell_angle_alpha 90.00
_cell_angle_beta 90.00
_cell_angle_gamma 90.00
loop_
_atom_site_label
_atom_site_type_symbol
_atom_site_fract_x
_atom_site_fract_y
_atom_site_fract_z
Ni1 Ni 0.2500 0.2500 0.2500
As1 As 0.0000 0.0000 0.0000
P1 P 0.0000 0.0000 0.5000
```